No. 1
This record from the Alexandria database describes a relaxed structure of ErZrNi10. The functional is GGA-PBE.

Properties
Calculated total energy in eV per atom: -6.222
Size of the total moment in μB per atom: 0.2139
Symmetry: No. 47
Crystal system: orthorhombic
ΔE_f in kJ/mol of atoms: -30.1
DOS(E_F) in states/eV per cell: 13.12

Cell: 3.9609 4.8022 8.3132 Å, 90.00 90.00 90.00°
Atoms (fractional coordinates):
Er  0.0000  0.0000  0.0000
Zr  0.0000  0.5000  0.5000
Ni  0.0000  0.0000  0.3384
Ni  0.0000  0.0000  0.6616
Ni  0.0000  0.5000  0.1727
Ni  0.0000  0.5000  0.8273
Ni  0.5000  0.0000  0.5000
Ni  0.5000  0.2525  0.2544
Ni  0.5000  0.2525  0.7456
Ni  0.5000  0.5000  0.0000
Ni  0.5000  0.7475  0.2544
Ni  0.5000  0.7475  0.7456

***

No. 2
This record from the Alexandria database describes a relaxed structure of Er2ZrNi. The functional is GGA-PBE.

Properties
Calculated total energy in eV per atom: -5.661
Size of the total moment in μB per atom: 0.0000
Symmetry: No. 166
Crystal system: trigonal
Offset from the most stable computed form in meV per atom: 362.2
ΔE_f in kJ/mol of atoms: 19.6
DOS(E_F) in states/eV per cell: 8.91

Cell: 3.3212 3.3212 30.5085 Å, 90.00 90.00 120.00°
Atoms (fractional coordinates):
Er  0.0000  0.0000  0.1047
Er  0.0000  0.0000  0.8953
Er  0.3333  0.6667  0.5619
Er  0.3333  0.6667  0.7714
Er  0.6667  0.3333  0.2286
Er  0.6667  0.3333  0.4381
Zr  0.0000  0.0000  0.0000
Zr  0.3333  0.6667  0.6667
Zr  0.6667  0.3333  0.3333
Ni  0.0000  0.0000  0.5000
Ni  0.3333  0.6667  0.1667
Ni  0.6667  0.3333  0.8333

***

No. 3
This record from the Alexandria database describes a relaxed structure of Er12ZrNi6. The functional is GGA-PBE.

Properties
Calculated total energy in eV per atom: -5.401
Size of the total moment in μB per atom: 0.2169
Symmetry: No. 204
Crystal system: cubic
ΔE_f in kJ/mol of atoms: -23.5
DOS(E_F) in states/eV per cell: 26.32

Cell: 8.3589 8.3589 8.3589 Å, 109.47 109.47 109.47°
Atoms (fractional coordinates):
Er  0.1203  0.8163  0.3039
Er  0.1837  0.3039  0.4876
Er  0.1837  0.6961  0.8797
Er  0.3039  0.1203  0.8163
Er  0.3039  0.4876  0.1837
Er  0.4876  0.1837  0.3039
Er  0.5124  0.8163  0.6961
Er  0.6961  0.5124  0.8163
Er  0.6961  0.8797  0.1837
Er  0.8163  0.3039  0.1203
Er  0.8163  0.6961  0.5124
Er  0.8797  0.1837  0.6961
Zr  0.0000  0.0000  0.0000
Ni  0.1243  0.6243  0.5000
Ni  0.3757  0.5000  0.8757
Ni  0.5000  0.1243  0.6243
Ni  0.5000  0.8757  0.3757
Ni  0.6243  0.5000  0.1243
Ni  0.8757  0.3757  0.5000

***

No. 4
This record from the Alexandria database describes a relaxed structure of Er2Zr3Ni4. The functional is GGA-PBE.

Properties
Calculated total energy in eV per atom: -6.814
Size of the total moment in μB per atom: 0.0000
Symmetry: No. 14
Crystal system: monoclinic
ΔE_f in kJ/mol of atoms: -36.7
DOS(E_F) in states/eV per cell: 17.30

Cell: 6.8246 6.9023 7.7131 Å, 90.00 109.48 90.00°
Atoms (fractional coordinates):
Er  0.1981  0.1682  0.0943
Er  0.1981  0.3318  0.5943
Er  0.8019  0.6682  0.4057
Er  0.8019  0.8318  0.9057
Zr  0.2426  0.6520  0.2527
Zr  0.2426  0.8480  0.7527
Zr  0.5000  0.0000  0.5000
Zr  0.5000  0.5000  0.0000
Zr  0.7574  0.1520  0.2473
Zr  0.7574  0.3480  0.7473
Ni  0.0982  0.5472  0.8918
Ni  0.0982  0.9528  0.3918
Ni  0.4856  0.6335  0.6113
Ni  0.4856  0.8665  0.1113
Ni  0.5144  0.1335  0.8887
Ni  0.5144  0.3665  0.3887
Ni  0.9018  0.0472  0.6082
Ni  0.9018  0.4528  0.1082

***

No. 5
This record from the Alexandria database describes a relaxed structure of ErZrNi. The functional is GGA-PBE.

Properties
Calculated total energy in eV per atom: -6.484
Size of the total moment in μB per atom: 0.0916
Symmetry: No. 107
Crystal system: tetragonal
Offset from the most stable computed form in meV per atom: 53.6
ΔE_f in kJ/mol of atoms: -18.0
DOS(E_F) in states/eV per cell: 8.53

Cell: 3.3266 3.3266 11.1751 Å, 90.00 90.00 90.00°
Atoms (fractional coordinates):
Er  0.0000  0.0000  0.0000
Er  0.5000  0.5000  0.5000
Zr  0.0000  0.0000  0.2893
Zr  0.5000  0.5000  0.7893
Ni  0.0000  0.0000  0.6638
Ni  0.5000  0.5000  0.1638

***

No. 6
This record from the Alexandria database describes a relaxed structure of ErNp4. The functional is GGA-PBE.

Properties
Calculated total energy in eV per atom: -9.413
Size of the total moment in μB per atom: 3.7269
Symmetry: No. 221
Crystal system: cubic
ΔE_f in kJ/mol of atoms: 178.7
DOS(E_F) in states/eV per cell: 25.80

Cell: 5.4261 5.4261 5.4261 Å, 90.00 90.00 90.00°
Atoms (fractional coordinates):
Er  0.0000  0.0000  0.0000
Np  0.0000  0.0000  0.5000
Np  0.0000  0.5000  0.0000
Np  0.5000  0.0000  0.0000
Np  0.5000  0.5000  0.5000

***

No. 7
This record from the Alexandria database describes a relaxed structure of Er4Np. The functional is GGA-PBE.

Properties
Calculated total energy in eV per atom: -5.482
Size of the total moment in μB per atom: 1.2903
Symmetry: No. 221
Crystal system: cubic
ΔE_f in kJ/mol of atoms: 73.0
DOS(E_F) in states/eV per cell: 7.94

Cell: 5.4862 5.4862 5.4862 Å, 90.00 90.00 90.00°
Atoms (fractional coordinates):
Er  0.0000  0.0000  0.0000
Er  0.0000  0.5000  0.5000
Er  0.5000  0.0000  0.5000
Er  0.5000  0.5000  0.0000
Np  0.5000  0.5000  0.5000

***

No. 8
This record from the Alexandria database describes a relaxed structure of Er5Np. The functional is GGA-PBE.

Properties
Calculated total energy in eV per atom: -5.725
Size of the total moment in μB per atom: 0.8285
Symmetry: No. 65
Crystal system: orthorhombic
ΔE_f in kJ/mol of atoms: 22.6
DOS(E_F) in states/eV per cell: 40.41

Cell: 4.9363 14.6549 4.9149 Å, 90.00 90.00 90.00°
Atoms (fractional coordinates):
Er  0.0000  0.0000  0.0000
Er  0.0000  0.1643  0.5000
Er  0.0000  0.3374  0.0000
Er  0.0000  0.6626  0.0000
Er  0.0000  0.8357  0.5000
Er  0.5000  0.1626  0.0000
Er  0.5000  0.3357  0.5000
Er  0.5000  0.5000  0.0000
Er  0.5000  0.6643  0.5000
Er  0.5000  0.8374  0.0000
Np  0.0000  0.5000  0.5000
Np  0.5000  0.0000  0.5000

***

No. 9
This record from the Alexandria database describes a relaxed structure of ErNpO4. The functional is GGA-PBE.

Properties
Calculated total energy in eV per atom: -9.477
Raw formation energy in kJ/mol of formula units: -1884
Size of the total moment in μB per atom: 0.3333
Symmetry: No. 65
Crystal system: orthorhombic
DOS(E_F) in states/eV per cell: 6.57

Cell: 6.9897 7.1843 3.5139 Å, 90.00 90.00 90.00°
Atoms (fractional coordinates):
Er  0.0000  0.0000  0.0000
Er  0.5000  0.5000  0.0000
Np  0.0000  0.5000  0.5000
Np  0.5000  0.0000  0.5000
O  0.0000  0.3146  0.0000
O  0.0000  0.6854  0.0000
O  0.2032  0.0000  0.5000
O  0.2968  0.5000  0.5000
O  0.5000  0.1854  0.0000
O  0.5000  0.8146  0.0000
O  0.7032  0.5000  0.5000
O  0.7968  0.0000  0.5000

***

No. 10
This record from the Alexandria database describes a relaxed structure of ErNpO6. The functional is GGA-PBE.

Properties
Calculated total energy in eV per atom: -8.126
Raw formation energy in kJ/mol of formula units: -1713
Size of the total moment in μB per atom: 0.0023
Symmetry: No. 12
Crystal system: monoclinic
DOS(E_F) in states/eV per cell: 1.07

Cell: 5.7363 7.1641 5.6100 Å, 90.00 110.31 90.00°
Atoms (fractional coordinates):
Er  0.0000  0.0000  0.0000
Er  0.5000  0.5000  0.0000
Np  0.0000  0.5000  0.5000
Np  0.5000  0.0000  0.5000
O  0.0810  0.0000  0.4321
O  0.1332  0.3264  0.7787
O  0.1332  0.6736  0.7787
O  0.3668  0.1736  0.2213
O  0.3668  0.8264  0.2213
O  0.4190  0.5000  0.5679
O  0.5810  0.5000  0.4321
O  0.6332  0.1736  0.7787
O  0.6332  0.8264  0.7787
O  0.8668  0.3264  0.2213
O  0.8668  0.6736  0.2213
O  0.9190  0.0000  0.5679

***

No. 11
This record from the Alexandria database describes a relaxed structure of ErNp4O10. The functional is GGA-PBE.

Properties
Calculated total energy in eV per atom: -10.250
Raw formation energy in kJ/mol of formula units: -4616
Size of the total moment in μB per atom: 0.7333
Symmetry: No. 139
Crystal system: tetragonal
DOS(E_F) in states/eV per cell: 28.07

Cell: 13.6695 13.6695 13.6695 Å, 164.05 164.05 22.63°
Atoms (fractional coordinates):
Er  0.0000  0.0000  0.0000
Np  0.1993  0.1993  0.0000
Np  0.4025  0.4025  0.0000
Np  0.5975  0.5975  0.0000
Np  0.8007  0.8007  0.0000
O  0.0514  0.5514  0.5000
O  0.1498  0.6498  0.5000
O  0.2500  0.7500  0.5000
O  0.3502  0.8502  0.5000
O  0.4486  0.9486  0.5000
O  0.5514  0.0514  0.5000
O  0.6498  0.1498  0.5000
O  0.7500  0.2500  0.5000
O  0.8502  0.3502  0.5000
O  0.9486  0.4486  0.5000

***

No. 12
This record from the Alexandria database describes a relaxed structure of ErNp2O8. The functional is GGA-PBE.

Properties
Calculated total energy in eV per atom: -9.157
Raw formation energy in kJ/mol of formula units: -2954
Size of the total moment in μB per atom: 0.0909
Symmetry: No. 12
Crystal system: monoclinic
DOS(E_F) in states/eV per cell: 6.18

Cell: 6.0982 6.0982 4.6937 Å, 95.73 95.73 70.75°
Atoms (fractional coordinates):
Er  0.0000  0.0000  0.0000
Np  0.3648  0.3648  0.7293
Np  0.6352  0.6352  0.2707
O  0.1042  0.6434  0.7513
O  0.1723  0.1723  0.7455
O  0.3566  0.8958  0.2487
O  0.4294  0.4294  0.2322
O  0.5706  0.5706  0.7678
O  0.6434  0.1042  0.7513
O  0.8277  0.8277  0.2545
O  0.8958  0.3566  0.2487